No. 1
## CaTc2Ag (PBE)

Data for a geometry-optimized CaTc2Ag structure.

Summary:
final energy: -23.45 eV per cell
Fermi-level density of states: 0.8367 states/eV per atom
relative energy among the computed polymorphs: 330 meV per atom
ΔH_f (0 K): 2.137 eV/f.u.

Structure (CIF):
```
data_CaTc2Ag
_chemical_formula_sum 'Ca1 Tc2 Ag1'
_space_group_name_H-M_alt 'P m m m'
_space_group_IT_number 47
_cell_length_a 3.2576
_cell_length_b 4.3895
_cell_length_c 4.9646
_cell_angle_alpha 90.00
_cell_angle_beta 90.00
_cell_angle_gamma 90.00
loop_
_space_group_symop_operation_xyz
'x,y,z'
'-x,-y,-z'
'-x,-y,z'
'x,y,-z'
'x,-y,-z'
'-x,y,z'
'-x,y,-z'
'x,-y,z'
loop_
_atom_site_label
_atom_site_type_symbol
_atom_site_fract_x
_atom_site_fract_y
_atom_site_fract_z
_atom_site_occupancy
Ca1 Ca 0.0000 0.0000 0.0000 1
Tc1 Tc 0.0000 0.5000 0.5000 1
Tc2 Tc 0.5000 0.0000 0.5000 1
Ag1 Ag 0.5000 0.5000 0.0000 1
```

---

No. 2
## CaTc2Ag (PBE)

Data for a geometry-optimized CaTc2Ag structure.

Summary:
final energy: -66.83 eV per cell
Fermi-level density of states: 1.7890 states/eV per atom
relative energy among the computed polymorphs: 623 meV per atom
ΔH_f (0 K): 3.310 eV/f.u.

Structure (CIF):
```
data_CaTc2Ag
_chemical_formula_sum 'Ca3 Tc6 Ag3'
_space_group_name_H-M_alt 'R -3 m'
_space_group_IT_number 166
_space_group_name_Hall '-R 3 2"'
_cell_length_a 2.8587
_cell_length_b 2.8587
_cell_length_c 29.8367
_cell_angle_alpha 90.00
_cell_angle_beta 90.00
_cell_angle_gamma 120.00
loop_
_atom_site_label
_atom_site_type_symbol
_atom_site_fract_x
_atom_site_fract_y
_atom_site_fract_z
_atom_site_occupancy
Ca1 Ca 0.0000 0.0000 0.0000 1
Tc1 Tc 0.0000 0.0000 0.2467 1
Ag1 Ag 0.0000 0.0000 0.5000 1
```

---

No. 3
## Ca2TcAg (PBE)

Data for a geometry-optimized Ca2TcAg structure.

Summary:
final energy: -31.72 eV per cell
Fermi-level density of states: 0.9134 states/eV per atom
relative energy among the computed polymorphs: 9 meV per atom
ΔH_f (0 K): 1.362 eV/f.u.

Structure (CIF):
```
data_Ca2TcAg
_chemical_formula_sum 'Ca4 Tc2 Ag2'
_space_group_name_H-M_alt 'C 1 m 1'
_space_group_IT_number 8
_cell_length_a 11.3643
_cell_length_b 3.0630
_cell_length_c 5.4699
_cell_angle_alpha 90.00
_cell_angle_beta 106.64
_cell_angle_gamma 90.00
loop_
_space_group_symop_operation_xyz
'x,y,z'
'x,-y,z'
'x+1/2,y+1/2,z'
'x+1/2,-y+1/2,z'
loop_
_atom_site_label
_atom_site_type_symbol
_atom_site_fract_x
_atom_site_fract_y
_atom_site_fract_z
_atom_site_occupancy
Ca1 Ca 0.0000 0.0000 0.0000 1
Ca2 Ca 0.2002 0.0000 0.6151 1
Tc1 Tc 0.2511 0.5000 0.1346 1
Ag1 Ag 0.4415 0.0000 0.4640 1
```

---

Among the records above, which one has the highest Fermi-level density of states?
number 2

---

Look up the relative energy among the computed polymorphs of the third one.
9 meV per atom

---

What did the second record say?
## CaTc2Ag (PBE)

Data for a geometry-optimized CaTc2Ag structure.

Summary:
final energy: -66.83 eV per cell
Fermi-level density of states: 1.7890 states/eV per atom
relative energy among the computed polymorphs: 623 meV per atom
ΔH_f (0 K): 3.310 eV/f.u.

Structure (CIF):
```
data_CaTc2Ag
_chemical_formula_sum 'Ca3 Tc6 Ag3'
_space_group_name_H-M_alt 'R -3 m'
_space_group_IT_number 166
_space_group_name_Hall '-R 3 2"'
_cell_length_a 2.8587
_cell_length_b 2.8587
_cell_length_c 29.8367
_cell_angle_alpha 90.00
_cell_angle_beta 90.00
_cell_angle_gamma 120.00
loop_
_atom_site_label
_atom_site_type_symbol
_atom_site_fract_x
_atom_site_fract_y
_atom_site_fract_z
_atom_site_occupancy
Ca1 Ca 0.0000 0.0000 0.0000 1
Tc1 Tc 0.0000 0.0000 0.2467 1
Ag1 Ag 0.0000 0.0000 0.5000 1
```